The following is a DFT calculation (PBE) of crystalline GdAs2O at its relaxed geometry.

Unit cell a=4.3114 b=6.1805 c=6.3266 alpha=90.00 beta=90.00 gamma=90.00
Last column: nearest neighbours and their distance in Å.
Atoms (fractional coordinates):
Gd1 0.0000 0.2392 0.0000  2 O 2.30
Gd2 0.0000 0.7608 0.5000  2 O 2.30
As1 0.0000 0.2782 0.4671  2 As 2.52
As2 0.0000 0.7218 0.9671  2 As 2.52
As3 0.5000 0.1340 0.6172  1 O 1.87
As4 0.5000 0.8660 0.1172  1 O 1.87
O1 0.5000 0.2770 0.8784  1 As 1.87
O2 0.5000 0.7230 0.3784  1 As 1.87

**Final energy**: -5.938 eV/atom
**Symmetry**: Pmc2_1
**Size of the total moment**: 0.00 μB/f.u.